A geometry-optimized La2TbDy7 structure, computed with PBE-GGA.

Cell and atoms, written as extended XYZ:
```
10
Lattice="3.517 0.000 0.000 0.000 14.078 -4.800 0.000 -10.635 10.399" Properties=species:S:1:pos:R:3 pbc="T T T"
Dy 1.758 5.000 2.750
Dy 1.758 0.198 5.703
Tb 0.000 0.000 0.000
Dy 0.000 9.533 -2.005
Dy 1.758 3.245 -0.104
Dy 0.000 -6.090 7.604
La 1.758 -3.374 5.933
La 1.758 6.817 -0.334
Dy 1.758 -1.556 2.849
Dy 1.758 1.722 2.799
```

Computed properties:
magnetization = 0.00 μB per atom
E above lowest polymorph = 135 meV/atom